## BeS6Cl2 (GGA-PBE)

Data for BeS6Cl2 after structural relaxation.

a = 4.9106 Å, b = 8.0596 Å, c = 8.3770 Å
α = 73.49°, β = 76.06°, γ = 85.00°
Space group P-1 (No. 2)
Symmetry-distinct sites (fractional):
Be 0.0000 0.0000 0.0000 (multiplicity 1)
S 0.0238 0.4703 0.2766 (multiplicity 2)
S 0.1245 0.2736 0.4747 (multiplicity 2)
S 0.1669 0.6883 0.3136 (multiplicity 2)
Cl 0.2554 0.9062 0.8522 (multiplicity 2)

Output
calculated total energy = -3.898 eV per atom
ΔE_f (raw) = -279.6 kJ/mol of formula units
magnetization = 0.00 μB per cell
density = 1.5 g/cm3